No. 1
Entry from Alexandria: RbLiSiRu2 after structural relaxation (PBE).

## Properties
- formation energy without anion corrections (eV/atom) = 2.2437
- density of states at the Fermi level (states/eV per cell) = 5.0
- space-group type = No. 123
- magnetic moment (Bohr magnetons per cell) = 1.68

Cell: 4.867 4.867 4.147 Å, 90.00 90.00 90.00°
Sites, in units of the cell vectors:
Rb 0.000 0.000 0.000
Li 0.000 0.000 0.500
Si 0.500 0.500 0.500
Ru 0.000 0.500 0.000
Ru 0.500 0.000 0.000

***

No. 2
Entry from Alexandria: TiCr3S after structural relaxation (PBE).

## Properties
- formation energy without anion corrections (eV/atom) = 1.7591
- relative energy among the computed polymorphs (eV/atom) = 1.538
- density of states at the Fermi level (states/eV per cell) = 11.3
- space-group type = No. 221
- magnetic moment (Bohr magnetons per cell) = 0.00

Cell: 4.327 4.327 4.327 Å, 90.00 90.00 90.00°
Sites, in units of the cell vectors:
Ti 0.000 0.000 0.000
Cr 0.000 0.000 0.500
Cr 0.000 0.500 0.000
Cr 0.500 0.000 0.000
S 0.500 0.500 0.500

***

No. 3
Entry from Alexandria: CrSb after structural relaxation (PBE).

## Properties
- formation energy without anion corrections (eV/atom) = 0.4072
- density of states at the Fermi level (states/eV per cell) = 1.5
- space-group type = No. 65
- magnetic moment (Bohr magnetons per cell) = 3.78

Cell: 3.331 3.331 3.765 Å, 90.00 90.00 96.74°
Sites, in units of the cell vectors:
Cr 0.000 0.000 0.000
Sb 0.500 0.500 0.500

***

> What is the formula in the third record?

CrSb